Record 1
VASP calculation (PBE) on crystalline Rb4OsN4 at its relaxed geometry.

abc: 7.9548 7.9548 6.5349
angles: 90.00 90.00 90.00
Closest atoms and distances in Å follow each position.
Fractional positions:
1 Rb 0.0349 0.2500 0.1396  5 N 3.03-3.09
2 Rb 0.2500 0.0349 0.6396  5 N 3.03-3.09
3 Rb 0.2500 0.4651 0.6396  5 N 3.03-3.09
4 Rb 0.4651 0.2500 0.1396  5 N 3.03-3.09
5 Rb 0.5349 0.7500 0.8604  5 N 3.03-3.09
6 Rb 0.7500 0.5349 0.3604  5 N 3.03-3.09
7 Rb 0.7500 0.9651 0.3604  5 N 3.03-3.09
8 Rb 0.9651 0.7500 0.8604  5 N 3.03-3.09
9 Os 0.2500 0.7500 0.2500  4 N 1.82
10 Os 0.7500 0.2500 0.7500  4 N 1.82
11 N 0.0641 0.7500 0.4119  1 Os 1.82
12 N 0.2500 0.5641 0.0881  1 Os 1.82
13 N 0.2500 0.9359 0.0881  1 Os 1.82
14 N 0.4359 0.7500 0.4119  1 Os 1.82
15 N 0.5641 0.2500 0.5881  1 Os 1.82
16 N 0.7500 0.0641 0.9119  1 Os 1.82
17 N 0.7500 0.4359 0.9119  1 Os 1.82
18 N 0.9359 0.2500 0.5881  1 Os 1.82

Properties
calculated volume: 414 Å³ per cell
formation energy from raw total energies: -0.56 kcal/mol of atoms
space group: P4_2/nmc, No. 137
DFT total energy: -5.402 eV per atom
DOS at the Fermi energy: 0.000 states/eV/cell

***

Record 2
VASP calculation (PBE) on crystalline TmZrAs2Rh5 at its relaxed geometry.

abc: 4.1566 4.1566 8.7468
angles: 90.00 90.00 90.00
Closest atoms and distances in Å follow each position.
Fractional positions:
1 Tm 0.0000 0.0000 0.0000  12 Rh 2.92-2.94
2 Zr 0.0000 0.0000 0.5000  8 Rh 3.12, 8 As 3.18
3 As 0.5000 0.5000 0.3615  4 Rh 2.36, 1 As 2.42
4 As 0.5000 0.5000 0.6385  4 Rh 2.36, 1 As 2.42
5 Rh 0.0000 0.5000 0.2338  2 As 2.36
6 Rh 0.0000 0.5000 0.7662  2 As 2.36
7 Rh 0.5000 0.0000 0.2338  2 As 2.36
8 Rh 0.5000 0.0000 0.7662  2 As 2.36
9 Rh 0.5000 0.5000 0.0000  8 Rh 2.92, 4 Tm 2.94, 2 As 3.16

Properties
calculated volume: 151 Å³ per cell
ΔE_f: -0.652 eV per atom
space group: P4/mmm, No. 123
DFT total energy: -7.216 eV per atom
DOS at the Fermi energy: 6.718 states/eV/cell

***

Record 3
VASP calculation (PBE) on crystalline Be2HgPb at its relaxed geometry.

abc: 6.1763 6.1763 6.1763
angles: 36.98 36.98 36.98
Closest atoms and distances in Å follow each position.
Fractional positions:
1 Be 0.0000 0.0000 0.0000  3 Be 2.26
2 Be 0.3323 0.3323 0.3323  3 Be 2.26
3 Hg 0.5914 0.5914 0.5914  6 Be 2.60-2.61
4 Pb 0.7770 0.7770 0.7770  6 Be 2.96-2.97, 1 Hg 3.20

Properties
calculated volume: 76 Å³ per cell
ΔE_f: 0.413 eV per atom
space group: R3m, No. 160
DFT total energy: -2.453 eV per atom
energy above the most stable polymorph in this dataset: 0.163 eV/f.u.
DOS at the Fermi energy: 0.436 states/eV/cell